Record 1
{
  "formula": "LiNi3C",
  "functional": "PBE",
  "state": "optimized geometry",
  "relative_energy_ev_per_fu": 0.22,
  "formation_energy_ev_per_atom": -0.034,
  "cell": [[2.557, 1.476, 4.575], [-2.557, 1.476, 4.575], [0.000, -2.952, 4.575]],
  "species": ["Li", "Li", "Ni", "Ni", "Ni", "Ni", "Ni", "Ni", "C", "C"],
  "frac_coords": [[0.092, 0.092, 0.092], [0.908, 0.908, 0.908], [0.095, 0.586, 0.586], [0.414, 0.414, 0.905], [0.414, 0.905, 0.414], [0.586, 0.095, 0.586], [0.586, 0.586, 0.095], [0.905, 0.414, 0.414], [0.330, 0.330, 0.330], [0.670, 0.670, 0.670]]
}

Record 2
{
  "formula": "Li2NiC2",
  "functional": "PBE",
  "state": "optimized geometry",
  "formation_energy_ev_per_atom": 0.052,
  "cell": [[4.949, 0.000, 0.000], [0.000, 4.949, 0.000], [0.000, 0.000, 3.445]],
  "species": ["Li", "Li", "Li", "Li", "Ni", "Ni", "C", "C", "C", "C"],
  "frac_coords": [[0.186, 0.314, 0.000], [0.314, 0.814, 0.000], [0.686, 0.186, 0.000], [0.814, 0.686, 0.000], [0.000, 0.000, 0.500], [0.500, 0.500, 0.500], [0.098, 0.598, 0.500], [0.402, 0.098, 0.500], [0.598, 0.902, 0.500], [0.902, 0.402, 0.500]]
}

Record 3
{
  "formula": "LiNi3C",
  "functional": "PBE",
  "state": "optimized geometry",
  "relative_energy_ev_per_fu": 0.87,
  "formation_energy_ev_per_atom": 0.097,
  "cell": [[4.353, -5.267, 0.000], [4.353, 5.267, 0.000], [-0.288, 0.000, 4.706]],
  "species": ["Li", "Li", "Li", "Li", "Ni", "Ni", "Ni", "Ni", "Ni", "Ni", "Ni", "Ni", "Ni", "Ni", "Ni", "Ni", "C", "C", "C", "C"],
  "frac_coords": [[0.063, 0.201, 0.061], [0.201, 0.063, 0.561], [0.799, 0.937, 0.439], [0.937, 0.799, 0.939], [0.049, 0.670, 0.426], [0.184, 0.566, 0.909], [0.315, 0.448, 0.402], [0.330, 0.951, 0.074], [0.434, 0.816, 0.591], [0.448, 0.315, 0.902], [0.552, 0.685, 0.098], [0.566, 0.184, 0.409], [0.670, 0.049, 0.926], [0.685, 0.552, 0.598], [0.816, 0.434, 0.091], [0.951, 0.330, 0.574], [0.281, 0.719, 0.250], [0.430, 0.570, 0.750], [0.570, 0.430, 0.250], [0.719, 0.281, 0.750]]
}

Record 4
{
  "formula": "LiNiC",
  "functional": "PBE",
  "state": "optimized geometry",
  "relative_energy_ev_per_fu": 0.86,
  "formation_energy_ev_per_atom": 0.316,
  "cell": [[2.902, 0.000, 0.000], [0.000, 4.853, 0.000], [0.000, 0.000, 8.703]],
  "species": ["Li", "Li", "Li", "Li", "Ni", "Ni", "Ni", "Ni", "C", "C", "C", "C"],
  "frac_coords": [[0.000, 0.000, 0.226], [0.000, 0.000, 0.774], [0.500, 0.500, 0.274], [0.500, 0.500, 0.726], [0.000, 0.248, 0.500], [0.000, 0.752, 0.500], [0.500, 0.252, 0.000], [0.500, 0.748, 0.000], [0.000, 0.500, 0.084], [0.000, 0.500, 0.916], [0.500, 0.000, 0.416], [0.500, 0.000, 0.584]]
}

Record 5
{
  "formula": "LiNi3C",
  "functional": "PBE",
  "state": "optimized geometry",
  "relative_energy_ev_per_fu": 0.15,
  "formation_energy_ev_per_atom": -0.047,
  "cell": [[4.812, 0.000, 0.000], [-0.003, 5.062, 0.000], [-1.413, -2.524, 4.246]],
  "species": ["Li", "Li", "Ni", "Ni", "Ni", "Ni", "Ni", "Ni", "C", "C"],
  "frac_coords": [[0.223, 0.459, 0.420], [0.777, 0.541, 0.580], [0.232, 0.956, 0.414], [0.234, 0.458, 0.927], [0.234, 0.967, 0.926], [0.766, 0.033, 0.074], [0.766, 0.542, 0.073], [0.768, 0.044, 0.586], [0.499, 0.165, 0.828], [0.501, 0.835, 0.172]]
}

Record 6
{
  "formula": "LiNi3C",
  "functional": "PBE",
  "state": "optimized geometry",
  "relative_energy_ev_per_fu": 1.47,
  "formation_energy_ev_per_atom": 0.215,
  "cell": [[4.684, 0.000, 0.000], [0.000, 6.817, 0.000], [0.000, 0.000, 6.615]],
  "species": ["Li", "Li", "Li", "Li", "Ni", "Ni", "Ni", "Ni", "Ni", "Ni", "Ni", "Ni", "Ni", "Ni", "Ni", "Ni", "C", "C", "C", "C"],
  "frac_coords": [[0.000, 0.000, 0.000], [0.000, 0.500, 0.000], [0.500, 0.000, 0.500], [0.500, 0.500, 0.500], [0.012, 0.076, 0.325], [0.012, 0.424, 0.325], [0.219, 0.250, 0.654], [0.281, 0.750, 0.154], [0.488, 0.576, 0.825], [0.488, 0.924, 0.825], [0.512, 0.076, 0.175], [0.512, 0.424, 0.175], [0.719, 0.250, 0.846], [0.781, 0.750, 0.346], [0.988, 0.576, 0.675], [0.988, 0.924, 0.675], [0.187, 0.750, 0.872], [0.313, 0.250, 0.372], [0.687, 0.750, 0.628], [0.813, 0.250, 0.128]]
}

Record 7
{
  "formula": "LiNiC",
  "functional": "PBE",
  "state": "optimized geometry",
  "relative_energy_ev_per_fu": 0.76,
  "formation_energy_ev_per_atom": 0.283,
  "cell": [[2.801, 0.000, 0.000], [0.000, 8.620, 0.000], [0.000, 0.000, 4.759]],
  "species": ["Li", "Li", "Li", "Li", "Ni", "Ni", "Ni", "Ni", "C", "C", "C", "C"],
  "frac_coords": [[0.000, 0.223, 0.250], [0.000, 0.777, 0.750], [0.500, 0.277, 0.750], [0.500, 0.723, 0.250], [0.000, 0.500, 0.000], [0.000, 0.500, 0.500], [0.500, 0.000, 0.000], [0.500, 0.000, 0.500], [0.000, 0.083, 0.750], [0.000, 0.917, 0.250], [0.500, 0.417, 0.250], [0.500, 0.583, 0.750]]
}

Record 8
{
  "formula": "LiNi3C",
  "functional": "PBE",
  "state": "optimized geometry",
  "relative_energy_ev_per_fu": 2.62,
  "formation_energy_ev_per_atom": 0.445,
  "cell": [[3.439, 0.000, 0.000], [-1.719, 2.978, 0.000], [0.000, 0.000, 10.845]],
  "species": ["Li", "Li", "Ni", "Ni", "Ni", "Ni", "Ni", "Ni", "C", "C"],
  "frac_coords": [[0.000, 0.000, 0.000], [0.000, 0.000, 0.500], [0.000, 0.000, 0.250], [0.000, 0.000, 0.750], [0.333, 0.667, 0.087], [0.333, 0.667, 0.413], [0.667, 0.333, 0.587], [0.667, 0.333, 0.913], [0.333, 0.667, 0.250], [0.667, 0.333, 0.750]]
}

Record 9
{
  "formula": "Li2NiC",
  "functional": "PBE",
  "state": "optimized geometry",
  "formation_energy_ev_per_atom": 0.687,
  "cell": [[3.022, 0.000, 0.000], [0.000, 3.022, 0.000], [0.000, 0.000, 16.134]],
  "species": ["Li", "Li", "Li", "Li", "Li", "Li", "Li", "Li", "Ni", "Ni", "Ni", "Ni", "C", "C", "C", "C"],
  "frac_coords": [[0.219, 0.250, 0.125], [0.250, 0.719, 0.375], [0.250, 0.781, 0.875], [0.281, 0.250, 0.625], [0.719, 0.750, 0.625], [0.750, 0.219, 0.875], [0.750, 0.281, 0.375], [0.781, 0.750, 0.125], [0.000, 0.000, 0.500], [0.000, 0.500, 0.750], [0.500, 0.000, 0.250], [0.500, 0.500, 0.000], [0.000, 0.000, 0.000], [0.000, 0.500, 0.250], [0.500, 0.000, 0.750], [0.500, 0.500, 0.500]]
}

Record 10
{
  "formula": "LiNi3C",
  "functional": "PBE",
  "state": "optimized geometry",
  "relative_energy_ev_per_fu": 0.49,
  "formation_energy_ev_per_atom": 0.020,
  "cell": [[7.738, -1.882, 0.000], [7.738, 1.882, 0.000], [-0.897, 0.000, 3.627]],
  "species": ["Li", "Li", "Ni", "Ni", "Ni", "Ni", "Ni", "Ni", "C", "C"],
  "frac_coords": [[0.069, 0.069, 0.318], [0.931, 0.931, 0.682], [0.197, 0.197, 0.947], [0.318, 0.318, 0.568], [0.450, 0.450, 0.201], [0.550, 0.550, 0.799], [0.682, 0.682, 0.432], [0.803, 0.803, 0.053], [0.331, 0.331, 0.080], [0.669, 0.669, 0.920]]
}

Record 11
{
  "formula": "LiNiC",
  "functional": "PBE",
  "state": "optimized geometry",
  "relative_energy_ev_per_fu": 0.74,
  "formation_energy_ev_per_atom": 0.277,
  "cell": [[5.935, 0.000, 0.000], [0.000, 7.781, 0.000], [0.000, 0.000, 2.904]],
  "species": ["Li", "Li", "Li", "Li", "Ni", "Ni", "Ni", "Ni", "C", "C", "C", "C"],
  "frac_coords": [[0.000, 0.209, 0.000], [0.000, 0.791, 0.000], [0.500, 0.291, 0.000], [0.500, 0.709, 0.000], [0.199, 0.500, 0.500], [0.301, 0.000, 0.500], [0.699, 0.000, 0.500], [0.801, 0.500, 0.500], [0.000, 0.000, 0.500], [0.000, 0.500, 0.000], [0.500, 0.000, 0.000], [0.500, 0.500, 0.500]]
}

Record 12
{
  "formula": "LiNi3C",
  "functional": "PBE",
  "state": "optimized geometry",
  "relative_energy_ev_per_fu": 1.92,
  "formation_energy_ev_per_atom": 0.307,
  "cell": [[-2.230, 2.230, 6.081], [2.230, -2.230, 6.081], [2.230, 2.230, -6.081]],
  "species": ["Li", "Li", "Ni", "Ni", "Ni", "Ni", "Ni", "Ni", "C", "C"],
  "frac_coords": [[0.185, 0.185, 0.000], [0.815, 0.815, 0.000], [0.051, 0.551, 0.500], [0.121, 0.376, 0.745], [0.449, 0.949, 0.500], [0.624, 0.370, 0.745], [0.624, 0.879, 0.255], [0.630, 0.376, 0.255], [0.500, 0.500, 0.000], [0.750, 0.250, 0.500]]
}

Record 13
{
  "formula": "Li2Ni4C",
  "functional": "PBE",
  "state": "optimized geometry",
  "formation_energy_ev_per_atom": 0.155,
  "cell": [[3.693, 0.000, 0.000], [0.000, 3.693, 0.000], [0.000, 0.000, 12.137]],
  "species": ["Li", "Li", "Li", "Li", "Ni", "Ni", "Ni", "Ni", "Ni", "Ni", "Ni", "Ni", "C", "C"],
  "frac_coords": [[0.000, 0.000, 0.147], [0.000, 0.000, 0.853], [0.500, 0.500, 0.353], [0.500, 0.500, 0.647], [0.000, 0.000, 0.347], [0.000, 0.000, 0.653], [0.000, 0.500, 0.000], [0.000, 0.500, 0.500], [0.500, 0.000, 0.000], [0.500, 0.000, 0.500], [0.500, 0.500, 0.153], [0.500, 0.500, 0.847], [0.000, 0.000, 0.500], [0.500, 0.500, 0.000]]
}

Record 14
{
  "formula": "LiNi3C",
  "functional": "PBE",
  "state": "optimized geometry",
  "relative_energy_ev_per_fu": 9.76,
  "formation_energy_ev_per_atom": 1.873,
  "cell": [[3.817, 0.000, 0.000], [0.000, 3.817, 0.000], [0.000, 0.000, 3.817]],
  "species": ["Li", "Ni", "Ni", "Ni", "C"],
  "frac_coords": [[0.000, 0.000, 0.000], [0.000, 0.000, 0.500], [0.000, 0.500, 0.000], [0.500, 0.000, 0.000], [0.500, 0.500, 0.500]]
}

Record 15
{
  "formula": "LiNiC",
  "functional": "PBE",
  "state": "optimized geometry",
  "relative_energy_ev_per_fu": 0.68,
  "formation_energy_ev_per_atom": 0.259,
  "cell": [[3.469, 0.000, 0.000], [0.000, 3.469, 0.000], [0.000, 0.000, 4.867]],
  "species": ["Li", "Li", "Ni", "Ni", "C", "C"],
  "frac_coords": [[0.250, 0.750, 0.000], [0.750, 0.250, 0.000], [0.250, 0.750, 0.500], [0.750, 0.250, 0.500], [0.250, 0.250, 0.304], [0.750, 0.750, 0.696]]
}

Record 16
{
  "formula": "LiNi3C",
  "functional": "PBE",
  "state": "optimized geometry",
  "relative_energy_ev_per_fu": 1.53,
  "formation_energy_ev_per_atom": 0.229,
  "cell": [[3.755, 0.000, 0.000], [-1.877, 3.251, 0.000], [0.000, 0.000, 7.593]],
  "species": ["Li", "Li", "Ni", "Ni", "Ni", "Ni", "Ni", "Ni", "C", "C"],
  "frac_coords": [[0.333, 0.667, 0.250], [0.667, 0.333, 0.750], [0.000, 0.000, 0.250], [0.000, 0.000, 0.750], [0.333, 0.667, 0.572], [0.333, 0.667, 0.928], [0.667, 0.333, 0.072], [0.667, 0.333, 0.428], [0.000, 0.000, 0.000], [0.000, 0.000, 0.500]]
}

Record 17
{
  "formula": "LiNiC",
  "functional": "PBE",
  "state": "optimized geometry",
  "relative_energy_ev_per_fu": 0.00,
  "formation_energy_ev_per_atom": 0.031,
  "cell": [[3.766, 0.000, 0.000], [-1.752, 4.196, 0.000], [-1.120, -1.649, 4.129]],
  "species": ["Li", "Li", "Ni", "Ni", "C", "C"],
  "frac_coords": [[0.000, 0.000, 0.000], [0.115, 0.439, 0.676], [0.365, 0.995, 0.573], [0.595, 0.628, 0.310], [0.046, 0.579, 0.204], [0.687, 0.351, 0.951]]
}

Record 18
{
  "formula": "Li2Ni3C",
  "functional": "PBE",
  "state": "optimized geometry",
  "formation_energy_ev_per_atom": 0.064,
  "cell": [[2.419, 1.396, 2.938], [-2.419, 1.396, 2.938], [0.000, -2.793, 2.938]],
  "species": ["Li", "Li", "Ni", "Ni", "Ni", "C"],
  "frac_coords": [[0.119, 0.119, 0.119], [0.881, 0.881, 0.881], [0.000, 0.500, 0.500], [0.500, 0.000, 0.500], [0.500, 0.500, 0.000], [0.500, 0.500, 0.500]]
}

Record 19
{
  "formula": "LiNiC",
  "functional": "PBE",
  "state": "optimized geometry",
  "relative_energy_ev_per_fu": 0.71,
  "formation_energy_ev_per_atom": 0.267,
  "cell": [[3.037, 0.000, 0.000], [0.000, 4.526, 0.000], [0.000, 0.000, 4.707]],
  "species": ["Li", "Li", "Ni", "Ni", "C", "C"],
  "frac_coords": [[0.000, 0.114, 0.000], [0.500, 0.886, 0.500], [0.000, 0.405, 0.478], [0.500, 0.595, 0.978], [0.000, 0.679, 0.782], [0.500, 0.321, 0.282]]
}

Record 20
{
  "formula": "LiNi3C",
  "functional": "PBE",
  "state": "optimized geometry",
  "relative_energy_ev_per_fu": 0.00,
  "formation_energy_ev_per_atom": -0.078,
  "cell": [[2.425, -4.309, 0.000], [2.425, 4.309, 0.000], [0.000, 0.000, 4.861]],
  "species": ["Li", "Li", "Ni", "Ni", "Ni", "Ni", "Ni", "Ni", "C", "C"],
  "frac_coords": [[0.041, 0.959, 0.500], [0.959, 0.041, 0.000], [0.043, 0.465, 0.358], [0.458, 0.542, 0.716], [0.465, 0.043, 0.858], [0.535, 0.957, 0.358], [0.542, 0.458, 0.216], [0.957, 0.535, 0.858], [0.341, 0.659, 0.053], [0.659, 0.341, 0.553]]
}

Record 21
{
  "formula": "LiNi3C",
  "functional": "PBE",
  "state": "optimized geometry",
  "relative_energy_ev_per_fu": 0.69,
  "formation_energy_ev_per_atom": 0.060,
  "cell": [[4.170, -3.469, 0.000], [4.170, 3.469, 0.000], [-1.851, 0.000, 7.089]],
  "species": ["Li", "Li", "Li", "Li", "Ni", "Ni", "Ni", "Ni", "Ni", "Ni", "Ni", "Ni", "Ni", "Ni", "Ni", "Ni", "C", "C", "C", "C"],
  "frac_coords": [[0.014, 0.986, 0.750], [0.344, 0.656, 0.250], [0.656, 0.344, 0.750], [0.986, 0.014, 0.250], [0.016, 0.489, 0.334], [0.172, 0.308, 0.028], [0.308, 0.172, 0.528], [0.331, 0.645, 0.914], [0.355, 0.669, 0.586], [0.489, 0.016, 0.834], [0.511, 0.984, 0.166], [0.645, 0.331, 0.414], [0.669, 0.355, 0.086], [0.692, 0.828, 0.472], [0.828, 0.692, 0.972], [0.984, 0.511, 0.666], [0.267, 0.315, 0.789], [0.315, 0.267, 0.289], [0.685, 0.733, 0.711], [0.733, 0.685, 0.211]]
}

Record 22
{
  "formula": "LiNi3C",
  "functional": "PBE",
  "state": "optimized geometry",
  "relative_energy_ev_per_fu": 0.71,
  "formation_energy_ev_per_atom": 0.065,
  "cell": [[0.000, 4.929, 4.929], [4.929, 0.000, 4.929], [4.929, 4.929, 0.000]],
  "species": ["Li", "Li", "Li", "Li", "Ni", "Ni", "Ni", "Ni", "Ni", "Ni", "Ni", "Ni", "Ni", "Ni", "Ni", "Ni", "C", "C", "C", "C"],
  "frac_coords": [[0.000, 0.000, 0.000], [0.000, 0.000, 0.500], [0.000, 0.500, 0.000], [0.500, 0.000, 0.000], [0.180, 0.180, 0.570], [0.180, 0.570, 0.180], [0.180, 0.570, 0.570], [0.430, 0.430, 0.820], [0.430, 0.820, 0.430], [0.430, 0.820, 0.820], [0.570, 0.180, 0.180], [0.570, 0.180, 0.570], [0.570, 0.570, 0.180], [0.820, 0.430, 0.430], [0.820, 0.430, 0.820], [0.820, 0.820, 0.430], [0.000, 0.500, 0.500], [0.500, 0.000, 0.500], [0.500, 0.500, 0.000], [0.500, 0.500, 0.500]]
}